No. 1
A relaxed structure of Os2Br8F. Source: Alexandria via LeMat-Bulk, functional PBE-GGA.

Structure (extended XYZ):
```
11
Lattice="-4.791 1.125 -1.233 -0.579 -4.532 8.558 2.345 6.250 7.040" Properties=species:S:1:pos:R:3 pbc="T T T"
Br -0.357 -1.831 10.173
F 0.000 0.000 0.000
Br -4.335 -1.473 5.058
Os -2.590 2.434 12.295
Os -0.435 0.409 2.070
Br -0.918 0.862 4.356
Br -2.107 1.981 10.010
Br -2.742 0.889 1.031
Br -2.668 4.674 4.192
Br 1.310 4.315 9.308
Br -0.283 1.954 13.335
```

Calculated values
Space-group type ... Immm (71)
Fermi-level density of states ... 2.89 states/eV/f.u.
Mass density ... 4.0 Mg/m³
Uncorrected energy ... -3.584 eV per atom
Raw formation energy ... -0.16 eV per atom

***

No. 2
A relaxed structure of OsBr2F5. Source: Alexandria via LeMat-Bulk, functional PBE-GGA.

Structure (extended XYZ):
```
8
Lattice="-2.929 2.827 1.534 -5.339 -3.469 -1.920 -1.072 -1.597 6.205" Properties=species:S:1:pos:R:3 pbc="T T T"
Br -5.403 -0.822 3.657
F -4.933 -3.860 4.463
F -1.283 -1.049 4.394
Br -3.732 -1.612 2.052
F -7.853 -1.388 1.320
F -1.364 1.315 0.715
F -4.206 1.428 1.251
Os -2.828 2.729 1.482
```

Calculated values
Space-group type ... P-1 (2)
Fermi-level density of states ... 2.57 states/eV/f.u.
Mass density ... 4.1 Mg/m³
Uncorrected energy ... -4.154 eV per atom
Raw formation energy ... -1.16 eV per atom

***

No. 3
A relaxed structure of OsPb2BrF. Source: Alexandria via LeMat-Bulk, functional PBE-GGA.

Structure (extended XYZ):
```
5
Lattice="4.886 0.000 0.000 0.000 5.213 0.000 0.000 0.000 4.886" Properties=species:S:1:pos:R:3 pbc="T T T"
Pb 2.443 0.000 0.000
Br 0.000 2.606 0.000
F 0.000 0.000 0.000
Os 2.443 2.606 2.443
Pb 0.000 0.000 2.443
```

Calculated values
Space-group type ... P4/mmm (123)
Fermi-level density of states ... 4.23 states/eV/f.u.
Mass density ... 9.4 Mg/m³
Uncorrected energy ... -3.933 eV per atom
Raw formation energy ... 0.51 eV per atom

***

No. 4
A relaxed structure of Rb3OsBr2F6. Source: Alexandria via LeMat-Bulk, functional PBE-GGA.

Structure (extended XYZ):
```
12
Lattice="-3.245 -2.366 -2.497 2.849 -7.363 3.273 -9.401 2.054 1.646" Properties=species:S:1:pos:R:3 pbc="T T T"
Br -1.740 -4.593 2.341
Rb 1.425 -3.682 1.637
Br -8.058 -3.082 0.081
Rb -6.323 -0.156 -0.426
Rb -4.899 -3.837 1.211
F -1.897 -0.501 0.525
Os -1.623 -1.183 -1.248
F -2.425 -2.838 -0.696
F -7.901 -7.174 1.898
F -9.308 0.166 0.894
F -7.372 -4.837 3.118
F -0.489 -7.841 1.528
```

Calculated values
Space-group type ... C2/m (12)
Mass density ... 3.9 Mg/m³
Uncorrected energy ... -4.389 eV per atom
Raw formation energy ... -2.00 eV per atom

***

No. 5
A relaxed structure of Rb2OsBrF6. Source: Alexandria via LeMat-Bulk, functional PBE-GGA.

Structure (extended XYZ):
```
10
Lattice="7.033 0.000 0.000 0.000 7.033 0.000 3.516 3.516 4.973" Properties=species:S:1:pos:R:3 pbc="T T T"
Rb 3.516 7.033 2.487
Br 3.516 3.516 0.000
F 3.516 3.516 3.047
F 5.670 1.362 0.000
Rb 7.033 3.516 2.487
F 7.033 7.033 1.926
Os 0.000 0.000 0.000
F 1.362 1.362 0.000
F 5.670 5.670 0.000
F 1.362 5.670 0.000
```

Calculated values
Space-group type ... Fm-3m (225)
Fermi-level density of states ... 0.00 states/eV/f.u.
Mass density ... 3.7 Mg/m³
Uncorrected energy ... -4.542 eV per atom
Raw formation energy ... -1.94 eV per atom

***

No. 6
A relaxed structure of Rb2OsBr6F. Source: Alexandria via LeMat-Bulk, functional PBE-GGA.

Structure (extended XYZ):
```
10
Lattice="7.545 0.000 0.000 0.000 7.545 0.000 3.772 3.772 5.418" Properties=species:S:1:pos:R:3 pbc="T T T"
Rb 7.545 3.772 2.709
Os 0.000 0.000 0.000
F 3.772 3.772 0.000
Br 7.545 7.545 2.511
Br 5.770 1.775 0.000
Rb 3.772 7.545 2.709
Br 1.775 5.770 0.000
Br 1.775 1.775 0.000
Br 3.772 3.772 2.907
Br 5.770 5.770 0.000
```

Calculated values
Space-group type ... I4/mmm (139)
Fermi-level density of states ... 3.30 states/eV/f.u.
Mass density ... 4.6 Mg/m³
Uncorrected energy ... -3.366 eV per atom
Raw formation energy ... -0.86 eV per atom

***

- The lowest raw formation energy belongs to which entry?
  Rb3OsBr2F6